# 1
This record from the Alexandria database describes a relaxed CeH6Ir2Pb crystal. The functional is PBE.

Raw total energy, eV for the cell shown: -197.86

Cell: 8.293 11.918 4.622 Å, 90.00 98.72 90.00°
Space group C2/c (No. 15)
One atom of each set of equivalent atoms:
1 Ce 0.000 0.164 0.250 [4 per cell]
2 H 0.134 0.001 0.995 [8 per cell]
3 H 0.145 0.189 0.841 [8 per cell]
4 H 0.200 0.324 0.460 [8 per cell]
5 Ir 0.247 0.420 0.235 [8 per cell]
6 Pb 0.000 0.395 0.750 [4 per cell]

# 2
This record from the Alexandria database describes a relaxed CeH8Ir2Pb crystal. The functional is PBE.

Raw total energy, eV for the cell shown: -162.92

Cell: 4.9914 4.9914 17.7289 Å, 90.00 90.00 120.00°
Space group R-3m (No. 166, hexagonal axes)
One atom of each set of equivalent atoms:
1 Ce 0.0000 0.0000 0.0000 [3 per cell]
2 H 0.0000 0.0000 0.3245 [6 per cell]
3 H 0.0495 0.5247 0.5574 [18 per cell]
4 Ir 0.0000 0.0000 0.2334 [6 per cell]
5 Pb 0.0000 0.0000 0.5000 [3 per cell]

# 3
This record from the Alexandria database describes a relaxed Ce6HIrPb2 crystal. The functional is PBE.

Raw total energy, eV for the cell shown: -58.53

Cell: 5.235 5.235 10.146 Å, 90.00 90.00 90.00°
Space group P4/mmm (No. 123)
One atom of each set of equivalent atoms:
1 Ce 0.000 0.000 0.219 [2 per cell]
2 Ce 0.000 0.500 0.000 [2 per cell]
3 Ce 0.000 0.500 0.500 [2 per cell]
4 H 0.000 0.000 0.000 [1 per cell]
5 Ir 0.000 0.000 0.500 [1 per cell]
6 Pb 0.500 0.500 0.244 [2 per cell]

# 4
This record from the Alexandria database describes a relaxed Ce2H6IrPd crystal. The functional is PBE.

Raw total energy, eV for the cell shown: -300.44

Cell: 5.1092 5.1092 30.1585 Å, 90.00 90.00 120.00°
Space group R-3m (No. 166, hexagonal axes)
One atom of each set of equivalent atoms:
1 Ce 0.0000 0.0000 0.1224 [6 per cell]
2 Ce 0.0000 0.0000 0.2956 [6 per cell]
3 H 0.0025 0.5012 0.8645 [18 per cell]
4 H 0.0139 0.5070 0.7038 [18 per cell]
5 Ir 0.0000 0.0000 0.0000 [3 per cell]
6 Ir 0.0000 0.0000 0.5000 [3 per cell]
7 Pd 0.0000 0.0000 0.4081 [6 per cell]

# 5
This record from the Alexandria database describes a relaxed CeH4IrPd2 crystal. The functional is PBE.

Raw total energy, eV for the cell shown: -82.97

Cell: 5.310 5.310 6.045 Å, 90.00 90.00 90.00°
Space group I-4 (No. 82)
One atom of each set of equivalent atoms:
1 Ce 0.000 0.000 0.000 [2 per cell]
2 H 0.199 0.238 0.289 [8 per cell]
3 Ir 0.000 0.500 0.250 [2 per cell]
4 Pd 0.000 0.000 0.500 [2 per cell]
5 Pd 0.000 0.500 0.750 [2 per cell]

# 6
This record from the Alexandria database describes a relaxed CePmH8Ir2 crystal. The functional is PBE.

Raw total energy, eV for the cell shown: -175.45

Cell: 4.8224 4.8224 18.7956 Å, 90.00 90.00 120.00°
Space group R-3m (No. 166, hexagonal axes)
One atom of each set of equivalent atoms:
1 Ce 0.0000 0.0000 0.0000 [3 per cell]
2 Pm 0.0000 0.0000 0.5000 [3 per cell]
3 H 0.0000 0.0000 0.3337 [6 per cell]
4 H 0.0554 0.5277 0.5578 [18 per cell]
5 Ir 0.0000 0.0000 0.2465 [6 per cell]

# 7
This record from the Alexandria database describes a relaxed CeH6IrPt crystal. The functional is PBE.

Raw total energy, eV for the cell shown: -43.44

Cell: 4.8550 4.8550 4.1904 Å, 90.00 90.00 120.00°
Space group P3m1 (No. 156)
One atom of each set of equivalent atoms:
1 Ce 0.0000 0.0000 0.0000 [1 per cell]
2 H 0.5080 0.0159 0.2298 [3 per cell]
3 H 0.5082 0.0164 0.7693 [3 per cell]
4 Ir 0.6667 0.3333 0.4988 [1 per cell]
5 Pt 0.3333 0.6667 0.5009 [1 per cell]

# 8
This record from the Alexandria database describes a relaxed CeH4IrPt2 crystal. The functional is PBE.

Raw total energy, eV for the cell shown: -85.54

Cell: 7.161 5.952 5.385 Å, 90.00 131.28 90.00°
Space group C2 (No. 5)
One atom of each set of equivalent atoms:
1 Ce 0.000 0.000 0.000 [2 per cell]
2 H 0.208 0.701 0.426 [4 per cell]
3 H 0.245 0.306 0.083 [4 per cell]
4 Ir 0.000 0.751 0.500 [2 per cell]
5 Pt 0.000 0.247 0.500 [2 per cell]
6 Pt 0.000 0.504 0.000 [2 per cell]

The highest raw total energy belongs to which entry? CeH6IrPt

raw total energy of number 4 (Ce2H6IrPd)? -300.44 eV for the cell shown

Among the records above, which one has the lowest raw total energy? Ce2H6IrPd

raw total energy of number 6 (CePmH8Ir2)? -175.45 eV for the cell shown